DFT (PBE) results for an optimized crystal structure of Pr3YTh2. Values from VASP.

Results
The theoretical density comes out at 7.80 Mg/m³. Its total energy is -5.78 eV per atom. As for the density of states at the Fermi level: 16.45 states/eV/cell. The value obtained for the formation energy is 0.99 eV per formula unit. The space group is No. 63.

Quantum ESPRESSO input file:
```
&SYSTEM
  ibrav = 0, nat = 12, ntyp = 3
/
ATOMIC_SPECIES
Pr 140.91 Pr.upf
Y 88.91 Y.upf
Th 232.04 Th.upf
CELL_PARAMETERS angstrom
-0.886 -2.010 -6.343
2.636 -6.259 1.615
-9.447 0.235 1.245
ATOMIC_POSITIONS crystal
Pr 0.750 0.853 0.706
Pr 0.250 0.147 0.294
Pr 0.750 0.921 0.346
Pr 0.250 0.079 0.654
Pr 0.750 0.425 0.346
Pr 0.250 0.575 0.654
Y 0.750 0.354 0.708
Y 0.250 0.646 0.292
Th 0.000 0.746 0.000
Th 0.500 0.254 0.000
Th 0.000 0.254 0.000
Th 0.500 0.746 0.000
```


DFT (PBE) results for an optimized crystal structure of DyThAg2. Values from VASP.

Results
The value obtained for the polymorph energy (0 for the lowest one) is 0 meV per atom. The theoretical density comes out at 10.13 Mg/m³. Its total energy is -4.60 eV per atom. As for the density of states at the Fermi level: 3.93 states/eV/cell. The value obtained for the formation energy is -0.69 eV per formula unit. The space group is No. 123.

Quantum ESPRESSO input file:
```
&SYSTEM
  ibrav = 0, nat = 4, ntyp = 3
/
ATOMIC_SPECIES
Ag 107.87 Ag.upf
Th 232.04 Th.upf
Dy 162.50 Dy.upf
CELL_PARAMETERS angstrom
3.587 0.000 0.000
0.000 3.587 0.000
0.000 0.000 7.772
ATOMIC_POSITIONS crystal
Ag 0.000 0.000 0.771
Ag 0.000 0.000 0.229
Th 0.500 0.500 0.500
Dy 0.500 0.500 0.000
```


DFT (PBE) results for an optimized crystal structure of CrIr2Au. Values from VASP.

Results
The value obtained for the polymorph energy (0 for the lowest one) is 98 meV per atom. The theoretical density comes out at 17.56 Mg/m³. Its total energy is -7.53 eV per atom. As for the density of states at the Fermi level: 3.56 states/eV/cell. The value obtained for the formation energy is 0.49 eV per formula unit. The space group is No. 12.

Quantum ESPRESSO input file:
```
&SYSTEM
  ibrav = 0, nat = 4, ntyp = 3
/
ATOMIC_SPECIES
Au 196.97 Au.upf
Cr 52.00 Cr.upf
Ir 192.22 Ir.upf
CELL_PARAMETERS angstrom
-3.984 0.183 2.714
-4.698 -1.052 0.314
0.088 -4.239 2.154
ATOMIC_POSITIONS crystal
Au 0.250 0.250 0.250
Cr 0.750 0.750 0.750
Ir 0.015 0.015 0.983
Ir 0.485 0.485 0.517
```


DFT (PBE) results for an optimized crystal structure of Nd3PaO7. Values from VASP.

Results
The theoretical density comes out at 7.36 Mg/m³. Its total energy is -8.82 eV per atom. As for the density of states at the Fermi level: 0.00 states/eV/cell. As for the uncorrected formation energy: -3502 meV per atom. The space group is No. 63.

Quantum ESPRESSO input file:
```
&SYSTEM
  ibrav = 0, nat = 22, ntyp = 3
/
ATOMIC_SPECIES
Nd 144.24 Nd.upf
Pa 231.04 Pa.upf
O 16.00 O.upf
CELL_PARAMETERS angstrom
-5.450 1.362 3.895
2.436 -6.206 1.509
4.755 3.211 5.530
ATOMIC_POSITIONS crystal
Nd 0.500 0.500 0.500
Nd 0.500 0.500 0.000
Nd 0.532 0.004 0.250
Nd 0.468 0.996 0.750
Nd 0.004 0.532 0.750
Nd 0.996 0.468 0.250
Pa 0.000 0.000 0.500
Pa 0.000 0.000 0.000
O 0.669 0.917 0.529
O 0.331 0.083 0.029
O 0.917 0.669 0.471
O 0.083 0.331 0.971
O 0.083 0.331 0.529
O 0.917 0.669 0.029
O 0.331 0.083 0.471
O 0.669 0.917 0.971
O 0.368 0.632 0.250
O 0.632 0.368 0.750
O 0.633 0.367 0.250
O 0.367 0.633 0.750
O 0.911 0.089 0.250
O 0.089 0.911 0.750
```


DFT (PBE) results for an optimized crystal structure of YTmRe4. Values from VASP.

Results
The theoretical density comes out at 14.91 Mg/m³. Its total energy is -10.33 eV per atom. As for the density of states at the Fermi level: 7.74 states/eV/cell. The value obtained for the formation energy is -1.24 eV per formula unit. The space group is No. 216.

Quantum ESPRESSO input file:
```
&SYSTEM
  ibrav = 0, nat = 6, ntyp = 3
/
ATOMIC_SPECIES
Y 88.91 Y.upf
Re 186.21 Re.upf
Tm 168.93 Tm.upf
CELL_PARAMETERS angstrom
5.405 0.000 0.000
2.702 4.681 0.000
2.702 1.560 4.413
ATOMIC_POSITIONS crystal
Y 0.250 0.250 0.250
Re 0.625 0.625 0.125
Re 0.625 0.125 0.625
Re 0.625 0.625 0.625
Re 0.125 0.625 0.625
Tm 0.000 0.000 0.000
```


DFT (PBE) results for an optimized crystal structure of RbTa2NbCr. Values from VASP.

Results
The theoretical density comes out at 8.64 Mg/m³. Its total energy is -7.41 eV per atom. As for the density of states at the Fermi level: 4.78 states/eV/cell. The value obtained for the formation energy is 7.33 eV per formula unit. The space group is No. 123.

Quantum ESPRESSO input file:
```
&SYSTEM
  ibrav = 0, nat = 5, ntyp = 4
/
ATOMIC_SPECIES
Cr 52.00 Cr.upf
Nb 92.91 Nb.upf
Rb 85.47 Rb.upf
Ta 180.95 Ta.upf
CELL_PARAMETERS angstrom
4.846 0.000 0.000
0.000 4.847 0.000
0.000 0.000 4.846
ATOMIC_POSITIONS crystal
Cr 0.000 0.000 0.000
Nb 0.000 0.500 0.000
Rb 0.500 0.500 0.500
Ta 0.000 0.000 0.500
Ta 0.500 0.000 0.000
```